DFT (PBE with a Hubbard U) results for crystalline NiBi2WO6 at its relaxed geometry.

The space group is C2/m (No. 12) and the conventional cell measures 10.295, 5.525 and 5.194 Å, with angles of 90.00, 110.29 and 90.00 degrees. The asymmetric unit holds Ni at (0.000, 0.000, 0.000), Bi at (0.232, 0.000, 0.715), W at (0.000, 0.500, 0.500), O at (0.097, 0.254, 0.322) and O at (0.166, 0.500, 0.814).

As for the calculated volume: 13.9 Å³/atom. The total energy is -6.065 eV/atom.